Entry 1:
BiTe2Pd7: optimized geometry, PBE.

```
BiTe2Pd7
1.0
-3.802 -1.221 -0.627
2.648 -5.527 -5.297
-0.915 -1.235 7.953
Bi Te Pd
1 2 7
Cartesian
0.000 0.000 0.000
-0.383 -4.775 -1.407
-1.686 -3.207 3.436
1.914 -4.642 -2.566
-0.181 -2.119 5.222
-1.947 -1.418 1.541
-0.121 -6.564 0.489
-1.214 -2.301 -1.186
-0.855 -5.681 3.216
-1.034 -3.991 1.015
```

Computed properties:
Its crystal system is orthorhombic. The value obtained for the energy relative to the elements, uncorrected is -0.106 eV/atom. As for the energy above the most stable polymorph in this dataset: 1.45 eV per formula unit. As for the space-group type: Cmmm. The final energy comes out at -47.58 eV per cell.

=====

Entry 2:
BiTe5Pd3: optimized geometry, PBE.

```
BiTe5Pd3
1.0
-3.158 7.662 -0.152
-6.129 1.476 5.381
2.628 5.070 7.079
Bi Te Pd
2 10 6
Cartesian
0.393 4.632 5.389
-7.053 9.576 6.918
-4.354 9.799 4.303
-5.221 3.368 3.688
-7.359 7.333 4.246
-3.484 5.903 4.728
-3.176 8.305 7.579
0.699 6.875 8.061
-6.180 5.999 7.702
-4.067 5.770 1.540
-2.306 4.408 8.004
-0.480 8.209 4.605
-4.025 10.390 9.455
-5.206 7.745 5.863
0.000 0.000 0.000
1.314 2.535 3.540
-2.635 3.817 2.853
-1.455 6.462 6.444
```

Computed properties:
Its crystal system is monoclinic. The value obtained for the energy relative to the elements, uncorrected is -0.168 eV/atom. As for the space-group type: C2/m. The final energy comes out at -73.36 eV per cell.

=====

Entry 3:
Bi2TePd2: optimized geometry, PBE.

```
Bi2TePd2
1.0
-0.444 0.854 -3.863
-3.440 -2.003 -0.047
-5.859 6.108 -0.027
Te Bi Pd
1 2 2
Cartesian
0.000 0.000 0.000
-2.914 1.083 -1.477
-6.830 3.876 -2.461
-4.123 3.194 -2.923
-5.621 1.765 -1.015
```

Computed properties:
Its crystal system is tetragonal. The value obtained for the energy relative to the elements, uncorrected is -0.119 eV/atom. As for the energy above the most stable polymorph in this dataset: 0.78 eV per formula unit. As for the space-group type: I4/mmm. The final energy comes out at -21.89 eV per cell.

=====

Entry 4:
Bi2TePd4: optimized geometry, PBE.

```
Bi2TePd4
1.0
4.451 0.000 0.000
0.000 3.506 0.000
0.000 -1.753 10.571
Bi Te Pd
2 1 4
Cartesian
2.226 0.000 3.801
2.226 1.753 6.770
0.000 1.753 0.000
2.226 1.753 1.528
0.000 1.753 8.408
2.226 0.000 9.043
0.000 0.000 2.163
```

Computed properties:
Its crystal system is orthorhombic. The value obtained for the energy relative to the elements, uncorrected is -0.157 eV/atom. As for the energy above the most stable polymorph in this dataset: 0.00 eV per formula unit. As for the space-group type: Cmmm. The final energy comes out at -32.77 eV per cell.

=====

Entry 5:
BiTe3Pd3: optimized geometry, PBE.

```
BiTe3Pd3
1.0
-1.187 3.816 -7.300
-6.144 -2.475 -5.039
-6.074 4.232 -1.544
Bi Te Pd
2 6 6
Cartesian
-2.452 0.456 -4.107
-10.952 5.116 -9.776
-9.607 2.597 -8.010
-5.854 5.743 -7.338
-6.910 2.379 -3.874
-6.495 3.194 -10.009
-7.550 -0.170 -6.544
-3.797 2.975 -5.873
-5.199 0.599 -5.239
-4.170 3.810 -8.517
-7.747 0.832 -9.184
-5.657 4.741 -4.698
-9.235 1.762 -5.366
-8.206 4.974 -8.644
```

Computed properties:
Its crystal system is trigonal. The value obtained for the energy relative to the elements, uncorrected is -0.214 eV/atom. As for the space-group type: R-3. The final energy comes out at -60.76 eV per cell.

=====

Entry 6:
BiTe2Pd2: optimized geometry, PBE.

```
BiTe2Pd2
1.0
-0.053 -0.257 4.960
-5.243 -7.302 -0.434
9.490 -6.800 -0.251
Bi Te Pd
4 8 8
Cartesian
4.227 -5.755 3.477
-0.738 -2.569 1.103
-0.033 -8.604 0.798
4.932 -11.790 3.172
2.473 -9.023 3.289
-3.444 -7.164 0.836
1.721 -5.335 0.986
7.638 -7.195 3.439
-1.816 -9.472 3.220
5.096 -9.762 0.792
6.011 -4.887 1.054
-0.902 -4.597 3.483
5.148 -8.383 3.351
2.049 -2.598 1.131
-0.954 -5.976 0.924
2.145 -11.761 3.144
-2.377 -6.816 3.352
2.398 -10.082 0.747
6.571 -7.543 0.923
1.796 -4.276 3.528
```

Computed properties:
Its crystal system is orthorhombic. The value obtained for the energy relative to the elements, uncorrected is -0.226 eV/atom. As for the space-group type: Pnma. The final energy comes out at -86.72 eV per cell.

=====

Entry 7:
BiTePd14: optimized geometry, PBE.

```
BiTePd14
1.0
-4.865 -2.867 1.481
2.772 -5.085 -0.737
2.168 0.117 7.349
Bi Te Pd
1 1 14
Cartesian
0.299 -2.923 3.954
-0.748 -6.899 4.326
-1.832 -6.958 0.651
-0.785 -2.982 0.279
-2.134 -4.357 4.694
-3.218 -4.415 1.019
1.685 -5.466 3.585
0.601 -5.525 -0.089
-2.180 -2.393 2.643
-1.077 -2.334 6.384
1.674 -3.513 1.524
2.778 -3.453 5.265
-0.781 -4.960 2.271
0.322 -4.900 6.012
0.275 -0.947 1.896
1.379 -0.887 5.636
```

Computed properties:
Its crystal system is tetragonal. The value obtained for the energy relative to the elements, uncorrected is -0.115 eV/atom. As for the space-group type: P4/mmm. The final energy comes out at -81.57 eV per cell.

=====

Entry 8:
Bi2TePd: optimized geometry, PBE.

```
Bi2TePd
1.0
-0.202 2.842 5.965
2.999 -5.278 2.617
7.346 1.596 3.151
Te Bi Pd
2 4 2
Cartesian
0.000 0.000 0.000
4.271 1.610 6.704
2.097 1.353 4.503
3.674 -2.382 3.509
6.729 -0.018 5.731
7.786 -0.633 9.723
1.398 -1.218 4.291
5.872 -2.450 5.029
```

Computed properties:
Its crystal system is tetragonal. The value obtained for the energy relative to the elements, uncorrected is 0.034 eV/atom. As for the space-group type: I-42d. The final energy comes out at -31.92 eV per cell.